# 1
This record from Alexandria describes an optimized crystal structure of Pu2IrRh3. The functional is PBE.

Unit cell a=5.3276 b=5.3276 c=13.1119 alpha=90.00 beta=90.00 gamma=120.00
Closest atoms and distances in Å follow each position.
Space group R-3m (No. 166, hexagonal axes)
Asymmetric unit:
Pu 0.0000 0.0000 0.1253 [6 per cell]  3 Ir 3.12, 9 Rh 3.13, 4 Pu 3.26-3.29
Ir 0.0000 0.0000 0.5000 [3 per cell]  6 Rh 2.67
Rh 0.0000 0.5000 0.0000 [9 per cell]  4 Rh 2.66, 2 Ir 2.67

Summary:
Volume in Å³ per atom: 17.91

=====

# 2
This record from Alexandria describes an optimized crystal structure of PrNdGaGe. The functional is PBE.

Unit cell a=7.4156 b=7.4156 c=7.4156 alpha=90.00 beta=90.00 gamma=90.00
Closest atoms and distances in Å follow each position.
Space group F-43m (No. 216)
Asymmetric unit:
Pr 0.0000 0.0000 0.0000 [4 per cell]  4 Ge 3.21, 4 Ga 3.21
Nd 0.0000 0.0000 0.5000 [4 per cell]  4 Ge 3.21, 4 Ga 3.21
Ga 0.2500 0.2500 0.2500 [4 per cell]  4 Pr 3.21, 4 Nd 3.21
Ge 0.2500 0.2500 0.7500 [4 per cell]  4 Pr 3.21, 4 Nd 3.21

Summary:
E above lowest polymorph in meV/atom: 191
Volume in Å³ per atom: 25.49

=====

# 3
This record from Alexandria describes an optimized crystal structure of SrMg6Pb12. The functional is PBE.

Unit cell a=15.0468 b=15.0468 c=8.3873 alpha=90.00 beta=90.00 gamma=120.00
Closest atoms and distances in Å follow each position.
Space group R-3 (No. 148, hexagonal axes)
Asymmetric unit:
Sr 0.0000 0.0000 0.0000 [3 per cell]  12 Pb 3.58-3.59
Mg 0.0307 0.2778 0.3253 [18 per cell]  9 Pb 3.30-3.56, 3 Mg 3.42-3.57
Pb 0.0077 0.1460 0.6569 [18 per cell]  5 Pb 3.28-3.64, 4 Mg 3.30-3.56, 1 Sr 3.59
Pb 0.0605 0.5560 0.6744 [18 per cell]  6 Pb 3.28-3.64, 5 Mg 3.32-3.41, 1 Sr 3.58

Summary:
E above lowest polymorph in meV/atom: 0
Volume in Å³ per atom: 28.85

=====

no.,VASP energy (eV/cell),size of the total moment (μB/f.u.),formation energy (eV/atom)
1,-188.24,9.61,-0.53
2,-77.77,0.00,-0.56
3,-171.55,0.00,-0.08